No. 1
# GGA-PBE NdZrTlZn, relaxed
data_NdZrTlZn
_chemical_formula_sum 'Nd1 Zr1 Tl1 Zn1'
_cell_length_a 5.1537
_cell_length_b 5.1537
_cell_length_c 5.1537
_cell_angle_alpha 60.00
_cell_angle_beta 60.00
_cell_angle_gamma 60.00
_symmetry_space_group_name_H-M 'P 1'
_symmetry_Int_Tables_number 1
loop_
_symmetry_equiv_pos_as_xyz
'x,y,z'
loop_
_atom_site_label
_atom_site_fract_x
_atom_site_fract_y
_atom_site_fract_z
Nd1 0.7500 0.7500 0.7500
Zr1 0.2500 0.2500 0.2500
Tl1 0.0000 0.0000 0.0000
Zn1 0.5000 0.5000 0.5000
# - Formation enthalpy at 0 K: -0.1400 eV/atom
# - SG: F-43m, No. 216

No. 2
# GGA-PBE BaSnP2S, relaxed
data_BaSnP2S
_chemical_formula_sum 'Ba1 Sn1 P2 S1'
_cell_length_a 5.5229
_cell_length_b 5.5229
_cell_length_c 5.6274
_cell_angle_alpha 90.00
_cell_angle_beta 90.00
_cell_angle_gamma 90.00
_symmetry_space_group_name_H-M 'P 1'
_symmetry_Int_Tables_number 1
loop_
_symmetry_equiv_pos_as_xyz
'x,y,z'
loop_
_atom_site_label
_atom_site_fract_x
_atom_site_fract_y
_atom_site_fract_z
S1 0.0000 0.0000 0.5000
Sn1 0.5000 0.5000 0.5000
P1 0.0000 0.5000 0.0000
Ba1 0.0000 0.0000 0.0000
P2 0.5000 0.0000 0.0000
# - ΔE_f (raw): 0.97 eV/atom
# - Polymorph energy (0 for the lowest one): 1.127 eV per atom
# - SG: P4/mmm, No. 123

Copy entry 1 word for word.
# GGA-PBE NdZrTlZn, relaxed
data_NdZrTlZn
_chemical_formula_sum 'Nd1 Zr1 Tl1 Zn1'
_cell_length_a 5.1537
_cell_length_b 5.1537
_cell_length_c 5.1537
_cell_angle_alpha 60.00
_cell_angle_beta 60.00
_cell_angle_gamma 60.00
_symmetry_space_group_name_H-M 'P 1'
_symmetry_Int_Tables_number 1
loop_
_symmetry_equiv_pos_as_xyz
'x,y,z'
loop_
_atom_site_label
_atom_site_fract_x
_atom_site_fract_y
_atom_site_fract_z
Nd1 0.7500 0.7500 0.7500
Zr1 0.2500 0.2500 0.2500
Tl1 0.0000 0.0000 0.0000
Zn1 0.5000 0.5000 0.5000
# - Formation enthalpy at 0 K: -0.1400 eV/atom
# - SG: F-43m, No. 216